# 1
Compound: Tb2DyRh2
Source: the Alexandria database
Functional: PBE
Structure: optimized geometry

Summary:
- DFT formation energy (eV per atom) = -0.699

Structure (CIF):
```
data_Tb2DyRh2
_chemical_formula_sum 'Tb8 Dy4 Rh8'
_space_group_name_H-M_alt 'C m c 21'
_space_group_IT_number 36
_cell_length_a 3.9239
_cell_length_b 12.8819
_cell_length_c 9.7310
_cell_angle_alpha 90.00
_cell_angle_beta 90.00
_cell_angle_gamma 90.00
loop_
_space_group_symop_operation_xyz
'x,y,z'
'-x,-y,z+1/2'
'-x,y,z'
'x,-y,z+1/2'
'x+1/2,y+1/2,z'
'-x+1/2,-y+1/2,z+1/2'
'-x+1/2,y+1/2,z'
'x+1/2,-y+1/2,z+1/2'
loop_
_atom_site_label
_atom_site_type_symbol
_atom_site_fract_x
_atom_site_fract_y
_atom_site_fract_z
Tb1 Tb 0.0000 0.0985 0.0000
Tb2 Tb 0.0000 0.3568 0.1842
Dy1 Dy 0.0000 0.3546 0.8137
Rh1 Rh 0.0000 0.0013 0.2509
Rh2 Rh 0.0000 0.2430 0.4988
```


# 2
Compound: CaMgW2
Source: the Alexandria database
Functional: PBE
Structure: optimized geometry

Summary:
- DFT formation energy (eV per atom) = 0.416

Structure (CIF):
```
data_CaMgW2
_chemical_formula_sum 'Ca1 Mg1 W2'
_space_group_name_H-M_alt 'P 4 m m'
_space_group_IT_number 99
_cell_length_a 3.3418
_cell_length_b 3.3418
_cell_length_c 7.7432
_cell_angle_alpha 90.00
_cell_angle_beta 90.00
_cell_angle_gamma 90.00
loop_
_space_group_symop_operation_xyz
'x,y,z'
'-y,x,z'
'-x,-y,z'
'y,-x,z'
'-x,y,z'
'y,x,z'
'x,-y,z'
'-y,-x,z'
loop_
_atom_site_label
_atom_site_type_symbol
_atom_site_fract_x
_atom_site_fract_y
_atom_site_fract_z
Ca1 Ca 0.0000 0.0000 0.0000
Mg1 Mg 0.5000 0.5000 0.3267
W1 W 0.0000 0.0000 0.5643
W2 W 0.5000 0.5000 0.7122
```


# 3
Compound: La3ZnCl
Source: the Alexandria database
Functional: PBE
Structure: optimized geometry

Summary:
- raw formation energy (kcal/mol of atoms) = -10.823

Structure (CIF):
```
data_La3ZnCl
_chemical_formula_sum 'La3 Zn1 Cl1'
_space_group_name_H-M_alt 'P m -3 m'
_space_group_IT_number 221
_space_group_name_Hall '-P 4 2 3'
_cell_length_a 5.4418
_cell_length_b 5.4418
_cell_length_c 5.4418
_cell_angle_alpha 90.00
_cell_angle_beta 90.00
_cell_angle_gamma 90.00
loop_
_atom_site_label
_atom_site_type_symbol
_atom_site_fract_x
_atom_site_fract_y
_atom_site_fract_z
La1 La 0.0000 0.0000 0.5000
Zn1 Zn 0.5000 0.5000 0.5000
Cl1 Cl 0.0000 0.0000 0.0000
```


# 4
Compound: SrScOsO6
Source: the Alexandria database
Functional: PBE
Structure: optimized geometry

Summary:
- raw formation energy (kcal/mol of atoms) = -49.542

Structure (CIF):
```
data_SrScOsO6
_chemical_formula_sum 'Sr1 Sc1 Os1 O6'
_space_group_name_H-M_alt 'P 3 1 2'
_space_group_IT_number 149
_cell_length_a 5.3489
_cell_length_b 5.3489
_cell_length_c 5.3445
_cell_angle_alpha 90.00
_cell_angle_beta 90.00
_cell_angle_gamma 120.00
loop_
_space_group_symop_operation_xyz
'x,y,z'
'-y,x-y,z'
'-x+y,-x,z'
'-y,-x,-z'
'-x+y,y,-z'
'x,x-y,-z'
loop_
_atom_site_label
_atom_site_type_symbol
_atom_site_fract_x
_atom_site_fract_y
_atom_site_fract_z
Sr1 Sr 0.0000 0.0000 0.0000
Sc1 Sc 0.3333 0.6667 0.5000
Os1 Os 0.6667 0.3333 0.5000
O1 O 0.3858 0.0277 0.7023
```


# 5
Compound: Mg2TcAgMo
Source: the Alexandria database
Functional: PBE
Structure: optimized geometry

Summary:
- DFT formation energy (eV per atom) = 1.544

Structure (CIF):
```
data_Mg2TcAgMo
_chemical_formula_sum 'Mg2 Tc1 Ag1 Mo1'
_space_group_name_H-M_alt 'P 4/m m m'
_space_group_IT_number 123
_space_group_name_Hall '-P 4 2'
_cell_length_a 4.5892
_cell_length_b 4.5892
_cell_length_c 5.0342
_cell_angle_alpha 90.00
_cell_angle_beta 90.00
_cell_angle_gamma 90.00
loop_
_atom_site_label
_atom_site_type_symbol
_atom_site_fract_x
_atom_site_fract_y
_atom_site_fract_z
Mg1 Mg 0.0000 0.5000 0.0000
Tc1 Tc 0.0000 0.0000 0.5000
Ag1 Ag 0.0000 0.0000 0.0000
Mo1 Mo 0.5000 0.5000 0.5000
```


# 6
Compound: AgHg2WAu
Source: the Alexandria database
Functional: PBE
Structure: optimized geometry

Summary:
- DFT formation energy (eV per atom) = 1.463

Structure (CIF):
```
data_AgHg2WAu
_chemical_formula_sum 'Ag1 Hg2 W1 Au1'
_space_group_name_H-M_alt 'P 4/m m m'
_space_group_IT_number 123
_space_group_name_Hall '-P 4 2'
_cell_length_a 5.3133
_cell_length_b 5.3133
_cell_length_c 5.1583
_cell_angle_alpha 90.00
_cell_angle_beta 90.00
_cell_angle_gamma 90.00
loop_
_atom_site_label
_atom_site_type_symbol
_atom_site_fract_x
_atom_site_fract_y
_atom_site_fract_z
Ag1 Ag 0.0000 0.0000 0.0000
Hg1 Hg 0.0000 0.5000 0.5000
W1 W 0.0000 0.0000 0.5000
Au1 Au 0.5000 0.5000 0.0000
```


Uncorrected energy across the listed records, respectively: -128.2 -27.8 -20.2 -68.3 -19.5 -12.4 eV per cell.